A plane-wave DFT calculation with PBE-GGA was carried out for a geometry-optimized La4Tb4Pm3 structure.

raw total energy = -4.65 eV per atom
magnetic moment = 0.0 μB/f.u.
E_form = 1.355 eV/f.u.

a = 12.348 Å, b = 12.348 Å, c = 12.348 Å
α = 163.09°, β = 134.35°, γ = 49.02°
Atoms (fractional coordinates):
La1 0.024 0.854 0.170
La2 0.316 0.146 0.170
La3 0.684 0.854 0.830
La4 0.976 0.146 0.830
Tb1 0.264 0.764 0.500
Tb2 0.316 0.000 0.316
Tb3 0.684 0.000 0.684
Tb4 0.736 0.236 0.500
Pm1 0.000 0.500 0.500
Pm2 0.394 0.394 0.000
Pm3 0.606 0.606 0.000



A plane-wave DFT calculation with PBE-GGA was carried out for a geometry-optimized YScSnRu structure.

raw total energy = -6.96 eV per atom
magnetic moment = 0.0 μB/f.u.
E_form = -1.770 eV/f.u.

a = 6.979 Å, b = 6.979 Å, c = 6.979 Å
α = 90.00°, β = 90.00°, γ = 90.00°
Atoms (fractional coordinates):
Y1 0.000 0.000 0.000
Y2 0.000 0.500 0.500
Y3 0.500 0.000 0.500
Y4 0.500 0.500 0.000
Sc1 0.000 0.000 0.500
Sc2 0.000 0.500 0.000
Sc3 0.500 0.000 0.000
Sc4 0.500 0.500 0.500
Sn1 0.250 0.250 0.750
Sn2 0.250 0.750 0.250
Sn3 0.750 0.250 0.250
Sn4 0.750 0.750 0.750
Ru1 0.250 0.250 0.250
Ru2 0.250 0.750 0.750
Ru3 0.750 0.250 0.750
Ru4 0.750 0.750 0.250



A plane-wave DFT calculation with PBE-GGA was carried out for a geometry-optimized KZr2TlPt structure.

raw total energy = -4.93 eV per atom
magnetic moment = 0.0 μB/f.u.
E_form = 1.932 eV/f.u.

a = 5.137 Å, b = 5.137 Å, c = 5.990 Å
α = 90.00°, β = 90.00°, γ = 90.00°
Atoms (fractional coordinates):
K1 0.000 0.000 0.000
Zr1 0.000 0.500 0.500
Zr2 0.500 0.000 0.500
Tl1 0.500 0.500 0.000
Pt1 0.000 0.000 0.500